This record from Alexandria via LeMat-Bulk describes PmMnPt2 after structural relaxation. The functional is PBE-GGA.

Values from the calculation:
* calculated formation energy: -233 kJ/mol of formula units
* density of states at the Fermi level: 2.8 states/eV/f.u.
* crystal system: tetragonal
* V: 74.4 Å³ per cell
* mass density: 13.18 g cm⁻³
* size of the total moment: 3.8 μB/f.u.
* final energy: -7.104 eV/atom

Geometry as extended XYZ:
```
4
Lattice="4.336 0.000 0.000 0.000 4.336 0.000 0.000 0.000 3.955" Properties=species:S:1:pos:R:3 pbc="T T T"
Pm 0.000 0.000 0.000
Mn 2.168 2.168 0.000
Pt 0.000 2.168 1.978
Pt 2.168 0.000 1.978
```

=====

This record from Alexandria via LeMat-Bulk describes PmMnPt3 after structural relaxation. The functional is PBE-GGA.

Values from the calculation:
* calculated formation energy: -306 kJ/mol of formula units
* density of states at the Fermi level: 2.4 states/eV/f.u.
* crystal system: hexagonal
* V: 193.4 Å³ per cell
* mass density: 13.49 g cm⁻³
* size of the total moment: 4.0 μB/f.u.
* final energy: -7.042 eV/atom

Geometry as extended XYZ:
```
10
Lattice="6.318 0.000 0.000 -3.159 5.472 0.000 0.000 0.000 5.593" Properties=species:S:1:pos:R:3 pbc="T T T"
Pm 0.000 3.648 1.398
Pm 3.159 1.824 4.195
Mn 0.000 0.000 0.000
Mn 0.000 0.000 2.797
Pt 0.000 2.109 4.195
Pt -1.333 4.417 4.195
Pt 1.826 1.054 1.398
Pt 1.333 4.417 4.195
Pt 4.492 1.054 1.398
Pt 3.159 3.363 1.398
```

=====

This record from Alexandria via LeMat-Bulk describes Pm2MnPt after structural relaxation. The functional is PBE-GGA.

Values from the calculation:
* calculated formation energy: -154 kJ/mol of formula units
* density of states at the Fermi level: 4.5 states/eV/f.u.
* crystal system: tetragonal
* V: 94.1 Å³ per cell
* mass density: 9.53 g cm⁻³
* size of the total moment: 3.1 μB/f.u.
* final energy: -6.576 eV/atom

Geometry as extended XYZ:
```
4
Lattice="3.653 0.000 0.000 0.000 3.653 0.000 0.000 0.000 7.054" Properties=species:S:1:pos:R:3 pbc="T T T"
Pm 0.000 0.000 1.709
Pm 0.000 0.000 5.345
Mn 1.826 1.826 3.527
Pt 1.826 1.826 0.000
```

=====

Question: Among the records above, which one has the lowest size of the total moment?
Answer: Pm2MnPt